Record 1
# NdHo4 PBE relaxed
data_NdHo4
_chemical_formula_sum 'Nd2 Ho8'
_cell_length_a 3.550
_cell_length_b 3.550
_cell_length_c 25.193
_cell_angle_alpha 90.00
_cell_angle_beta 90.00
_cell_angle_gamma 90.00
_space_group_name_H-M_alt 'I 4/m m m'
_space_group_IT_number 139
_space_group_name_Hall '-I 4 2'
loop_
_atom_site_label
_atom_site_type_symbol
_atom_site_fract_x
_atom_site_fract_y
_atom_site_fract_z
Nd1 Nd 0.000 0.000 0.000
Ho1 Ho 0.000 0.000 0.201
Ho2 Ho 0.000 0.000 0.398
# Energy in eV per atom: -4.59
# Calculated density in g cm⁻³: 8.4
# Polymorph energy (0 for the lowest one) in eV per atom: 0.003

***

Record 2
# Pm2EuTh PBE relaxed
data_Pm2EuTh
_chemical_formula_sum 'Pm2 Eu1 Th1'
_cell_length_a 3.668
_cell_length_b 3.668
_cell_length_c 10.566
_cell_angle_alpha 90.00
_cell_angle_beta 90.00
_cell_angle_gamma 90.00
_space_group_name_H-M_alt 'P 4/m m m'
_space_group_IT_number 123
_space_group_name_Hall '-P 4 2'
loop_
_atom_site_label
_atom_site_type_symbol
_atom_site_fract_x
_atom_site_fract_y
_atom_site_fract_z
Pm1 Pm 0.000 0.000 0.227
Eu1 Eu 0.500 0.500 0.500
Th1 Th 0.500 0.500 0.000
# Energy in eV per atom: -6.76
# Calculated density in g cm⁻³: 7.9
# Polymorph energy (0 for the lowest one) in eV per atom: 0.000

***

Record 3
# TiBOsPb2 PBE relaxed
data_TiBOsPb2
_chemical_formula_sum 'Ti1 B1 Os1 Pb2'
_cell_length_a 5.222
_cell_length_b 5.222
_cell_length_c 4.789
_cell_angle_alpha 90.00
_cell_angle_beta 90.00
_cell_angle_gamma 90.00
_space_group_name_H-M_alt 'P 4/m m m'
_space_group_IT_number 123
_space_group_name_Hall '-P 4 2'
loop_
_atom_site_label
_atom_site_type_symbol
_atom_site_fract_x
_atom_site_fract_y
_atom_site_fract_z
Ti1 Ti 0.000 0.000 0.000
B1 B 0.500 0.500 0.000
Os1 Os 0.000 0.000 0.500
Pb1 Pb 0.000 0.500 0.500
# Energy in eV per atom: -5.25
# Calculated density in g cm⁻³: 8.4

***

Record 4
# YSc3Au4 PBE relaxed
data_YSc3Au4
_chemical_formula_sum 'Y3 Sc9 Au12'
_cell_length_a 4.8517
_cell_length_b 4.8517
_cell_length_c 24.4466
_cell_angle_alpha 90.00
_cell_angle_beta 90.00
_cell_angle_gamma 120.00
_space_group_name_H-M_alt 'R -3 m'
_space_group_IT_number 166
_space_group_name_Hall '-R 3 2"'
loop_
_atom_site_label
_atom_site_type_symbol
_atom_site_fract_x
_atom_site_fract_y
_atom_site_fract_z
Y1 Y 0.0000 0.0000 0.0000
Sc1 Sc 0.0000 0.0000 0.2478
Sc2 Sc 0.0000 0.0000 0.5000
Au1 Au 0.0000 0.0000 0.1280
Au2 Au 0.0000 0.0000 0.3838
# Energy in eV per atom: -5.63
# Calculated density in g cm⁻³: 10.1

***

Record 5
# Ho2LuTl PBE relaxed
data_Ho2LuTl
_chemical_formula_sum 'Ho6 Lu3 Tl3'
_cell_length_a 3.5261
_cell_length_b 3.5261
_cell_length_c 32.8939
_cell_angle_alpha 90.00
_cell_angle_beta 90.00
_cell_angle_gamma 120.00
_space_group_name_H-M_alt 'R -3 m'
_space_group_IT_number 166
_space_group_name_Hall '-R 3 2"'
loop_
_atom_site_label
_atom_site_type_symbol
_atom_site_fract_x
_atom_site_fract_y
_atom_site_fract_z
Ho1 Ho 0.0000 0.0000 0.2475
Lu1 Lu 0.0000 0.0000 0.0000
Tl1 Tl 0.0000 0.0000 0.5000
# Energy in eV per atom: -4.11
# Calculated density in g cm⁻³: 10.0
# Polymorph energy (0 for the lowest one) in eV per atom: 0.062

***

Record 6
# LiSmZnAu2 PBE relaxed
data_LiSmZnAu2
_chemical_formula_sum 'Li2 Sm2 Zn2 Au4'
_cell_length_a 3.940
_cell_length_b 3.940
_cell_length_c 13.036
_cell_angle_alpha 90.00
_cell_angle_beta 90.00
_cell_angle_gamma 90.00
_space_group_name_H-M_alt 'I -4 m 2'
_space_group_IT_number 119
_space_group_name_Hall 'I -4 -2'
loop_
_atom_site_label
_atom_site_type_symbol
_atom_site_fract_x
_atom_site_fract_y
_atom_site_fract_z
Li1 Li 0.000 0.000 0.000
Sm1 Sm 0.000 0.500 0.750
Zn1 Zn 0.000 0.000 0.500
Au1 Au 0.000 0.500 0.140
# Energy in eV per atom: -3.49
# Calculated density in g cm⁻³: 10.1

***

Record 7
# NaHfIO2 PBE relaxed
data_NaHfIO2
_chemical_formula_sum 'Na1 Hf1 I1 O2'
_cell_length_a 4.114
_cell_length_b 4.114
_cell_length_c 6.034
_cell_angle_alpha 90.00
_cell_angle_beta 90.00
_cell_angle_gamma 90.00
_space_group_name_H-M_alt 'P 4/m m m'
_space_group_IT_number 123
_space_group_name_Hall '-P 4 2'
loop_
_atom_site_label
_atom_site_type_symbol
_atom_site_fract_x
_atom_site_fract_y
_atom_site_fract_z
Na1 Na 0.000 0.000 0.000
Hf1 Hf 0.500 0.500 0.500
I1 I 0.500 0.500 0.000
O1 O 0.000 0.500 0.500
# Energy in eV per atom: -6.58
# Calculated density in g cm⁻³: 5.9
# Polymorph energy (0 for the lowest one) in eV per atom: 0.000

***

Record 8
# BaTaSi PBE relaxed
data_BaTaSi
_chemical_formula_sum 'Ba2 Ta2 Si2'
_cell_length_a 3.591
_cell_length_b 3.591
_cell_length_c 12.339
_cell_angle_alpha 90.00
_cell_angle_beta 90.00
_cell_angle_gamma 90.00
_space_group_name_H-M_alt 'I 4 m m'
_space_group_IT_number 107
_space_group_name_Hall 'I 4 -2'
loop_
_atom_site_label
_atom_site_type_symbol
_atom_site_fract_x
_atom_site_fract_y
_atom_site_fract_z
Ba1 Ba 0.000 0.000 0.000
Ta1 Ta 0.000 0.000 0.725
Si1 Si 0.000 0.000 0.260
# Energy in eV per atom: -6.21
# Calculated density in g cm⁻³: 7.2
# Polymorph energy (0 for the lowest one) in eV per atom: 0.452

***

Record 9
# Nd2Cd13 PBE relaxed
data_Nd2Cd13
_chemical_formula_sum 'Nd6 Cd39'
_cell_length_a 7.9132
_cell_length_b 7.9132
_cell_length_c 21.3289
_cell_angle_alpha 90.00
_cell_angle_beta 90.00
_cell_angle_gamma 120.00
_space_group_name_H-M_alt 'R -3 m'
_space_group_IT_number 166
_space_group_name_Hall '-R 3 2"'
loop_
_atom_site_label
_atom_site_type_symbol
_atom_site_fract_x
_atom_site_fract_y
_atom_site_fract_z
Nd1 Nd 0.0000 0.0000 0.1574
Cd1 Cd 0.0000 0.0000 0.0000
Cd2 Cd 0.0728 0.5364 0.3831
Cd3 Cd 0.0906 0.5453 0.2331
# Energy in eV per atom: -1.47
# Calculated density in g cm⁻³: 7.5

***

Record 10
# LiYS2Cl PBE relaxed
data_LiYS2Cl
_chemical_formula_sum 'Li1 Y1 S2 Cl1'
_cell_length_a 5.258
_cell_length_b 5.258
_cell_length_c 5.362
_cell_angle_alpha 90.00
_cell_angle_beta 90.00
_cell_angle_gamma 90.00
_space_group_name_H-M_alt 'P 4/m m m'
_space_group_IT_number 123
_space_group_name_Hall '-P 4 2'
loop_
_atom_site_label
_atom_site_type_symbol
_atom_site_fract_x
_atom_site_fract_y
_atom_site_fract_z
Li1 Li 0.000 0.000 0.000
Y1 Y 0.500 0.500 0.500
S1 S 0.000 0.500 0.500
Cl1 Cl 0.500 0.500 0.000
# Energy in eV per atom: -4.88
# Calculated density in g cm⁻³: 2.2
# Polymorph energy (0 for the lowest one) in eV per atom: 0.000

***

Record 11
# RbAlSe2 PBE relaxed
data_RbAlSe2
_chemical_formula_sum 'Rb3 Al3 Se6'
_cell_length_a 4.1544
_cell_length_b 4.1544
_cell_length_c 26.5995
_cell_angle_alpha 90.00
_cell_angle_beta 90.00
_cell_angle_gamma 120.00
_space_group_name_H-M_alt 'R 3 m'
_space_group_IT_number 160
_space_group_name_Hall 'R 3 -2"'
loop_
_atom_site_label
_atom_site_type_symbol
_atom_site_fract_x
_atom_site_fract_y
_atom_site_fract_z
Rb1 Rb 0.0000 0.0000 0.0000
Al1 Al 0.0000 0.0000 0.4942
Se1 Se 0.0000 0.0000 0.4101
Se2 Se 0.0000 0.0000 0.8670
# Energy in eV per atom: -3.68
# Calculated density in g cm⁻³: 3.4